BaSrLi2 | PBEsol | relaxed

Values from the calculation:
density = 2.400 Mg/m³
energy relative to the lowest polymorph listed for this composition = 59 meV/atom
crystal system = trigonal
magnetic moment = 0.00 μB per atom
energy of formation = 0.091 eV/atom

```
data_BaSrLi2
_space_group_name_H-M_alt 'P 1'
_space_group_IT_number 1
_cell_length_a 4.7720
_cell_length_b 4.7720
_cell_length_c 8.8206
_cell_angle_alpha 74.31
_cell_angle_beta 74.31
_cell_angle_gamma 60.00
loop_
_space_group_symop_operation_xyz
'x,y,z'
loop_
_atom_site_label
_atom_site_type_symbol
_atom_site_fract_x
_atom_site_fract_y
_atom_site_fract_z
Ba1 Ba 0.2762 0.2762 0.1714
Li1 Li 0.7108 0.7108 0.8677
Sr1 Sr 0.4692 0.4692 0.5924
Li2 Li 0.0438 0.0438 0.8686
```

BaSrLi2 | PBEsol | relaxed

Values from the calculation:
density = 2.569 Mg/m³
energy relative to the lowest polymorph listed for this composition = 8 meV/atom
crystal system = tetragonal
magnetic moment = 0.00 μB per atom
energy of formation = 0.040 eV/atom

```
data_BaSrLi2
_space_group_name_H-M_alt 'P 1'
_space_group_IT_number 1
_cell_length_a 4.2015
_cell_length_b 6.0617
_cell_length_c 6.0617
_cell_angle_alpha 90.00
_cell_angle_beta 90.00
_cell_angle_gamma 90.00
loop_
_space_group_symop_operation_xyz
'x,y,z'
loop_
_atom_site_label
_atom_site_type_symbol
_atom_site_fract_x
_atom_site_fract_y
_atom_site_fract_z
Ba1 Ba 0.5000 0.5000 0.5000
Li1 Li 0.0000 0.0000 0.5000
Sr1 Sr 0.5000 0.0000 0.0000
Li2 Li 0.0000 0.5000 0.0000
```

Ba2SrLi | PBEsol | relaxed

Values from the calculation:
density = 3.179 Mg/m³
energy relative to the lowest polymorph listed for this composition = 22 meV/atom
crystal system = orthorhombic
magnetic moment = 0.00 μB per atom
energy of formation = 0.048 eV/atom

```
data_Ba2SrLi
_space_group_name_H-M_alt 'P 1'
_space_group_IT_number 1
_cell_length_a 4.4416
_cell_length_b 6.6200
_cell_length_c 7.6748
_cell_angle_alpha 115.55
_cell_angle_beta 106.82
_cell_angle_gamma 90.00
loop_
_space_group_symop_operation_xyz
'x,y,z'
loop_
_atom_site_label
_atom_site_type_symbol
_atom_site_fract_x
_atom_site_fract_y
_atom_site_fract_z
Li1 Li 0.5037 0.5036 0.0074
Ba1 Ba 0.9974 0.9971 0.9948
Sr1 Sr 0.2117 0.7120 0.4234
Ba2 Ba 0.7872 0.2873 0.5744
```

BaSrLi2Ti | PBEsol | relaxed

Values from the calculation:
density = 2.890 Mg/m³
crystal system = tetragonal
magnetic moment = 0.16 μB per atom
energy of formation = 0.952 eV/atom

```
data_BaSrLi2Ti
_space_group_name_H-M_alt 'P 1'
_space_group_IT_number 1
_cell_length_a 5.5539
_cell_length_b 5.5539
_cell_length_c 5.3401
_cell_angle_alpha 90.00
_cell_angle_beta 90.00
_cell_angle_gamma 90.00
loop_
_space_group_symop_operation_xyz
'x,y,z'
loop_
_atom_site_label
_atom_site_type_symbol
_atom_site_fract_x
_atom_site_fract_y
_atom_site_fract_z
Li1 Li 0.5000 0.0000 0.0000
Sr1 Sr 0.5000 0.5000 0.5000
Li2 Li 0.0000 0.5000 0.0000
Ba1 Ba 0.0000 0.0000 0.0000
Ti1 Ti 0.0000 0.0000 0.5000
```